{"formula": "LaPRh4", "functional": "PBE", "state": "relaxed", "formation_energy_ev_per_atom": -0.146, "sg": "F-43m (216)", "lattice_angstrom": [[0.000, 3.745, 3.745], [3.745, 0.000, 3.745], [3.745, 3.745, 0.000]], "species": ["Rh", "Rh", "Rh", "Rh", "La", "P"], "frac_coords": [[0.374, 0.374, 0.374], [0.374, 0.879, 0.374], [0.374, 0.374, 0.879], [0.879, 0.374, 0.374], [0.750, 0.750, 0.750], [0.000, 0.000, 0.000]]}



{"formula": "V2InCo2", "functional": "PBE", "state": "relaxed", "formation_energy_ev_per_atom": 0.170, "sg": "P4/mbm (127)", "polymorph_energy_mev_per_atom": 202, "lattice_angstrom": [[7.229, 0.000, 0.000], [0.000, 7.229, 0.000], [0.000, 0.000, 2.685]], "species": ["Co", "Co", "Co", "Co", "V", "V", "V", "V", "In", "In"], "frac_coords": [[0.140, 0.640, 0.500], [0.640, 0.860, 0.500], [0.860, 0.360, 0.500], [0.360, 0.140, 0.500], [0.145, 0.355, 0.000], [0.645, 0.145, 0.000], [0.855, 0.645, 0.000], [0.355, 0.855, 0.000], [0.500, 0.500, 0.000], [0.000, 0.000, 0.000]]}



{"formula": "Pr6SiSe3S2", "functional": "PBE", "state": "relaxed", "raw_formation_energy_ev_per_atom": -1.7474, "sg": "C2/m (12)", "lattice_angstrom": [[-2.599, 1.671, 2.853], [3.989, -4.300, 6.152], [5.885, 7.200, -1.955]], "species": ["Pr", "Pr", "Pr", "Pr", "Pr", "Pr", "Se", "Se", "Se", "Si", "S", "S"], "frac_coords": [[0.670, 0.572, 0.340], [0.003, 0.242, 0.007], [0.997, 0.758, 0.993], [0.662, 0.091, 0.324], [0.330, 0.428, 0.660], [0.338, 0.909, 0.676], [0.167, 0.831, 0.334], [0.833, 0.169, 0.666], [0.500, 0.500, 0.000], [0.500, 0.000, 0.000], [0.832, 0.667, 0.664], [0.168, 0.333, 0.336]]}



{"formula": "LaYAl4", "functional": "PBE", "state": "relaxed", "formation_energy_ev_per_atom": -0.498, "sg": "F-43m (216)", "lattice_angstrom": [[-5.175, -0.892, -2.137], [-4.305, -1.307, 3.450], [-4.136, 3.766, 0.923]], "species": ["Al", "Al", "Al", "Al", "Y", "La"], "frac_coords": [[0.625, 0.625, 0.125], [0.125, 0.625, 0.625], [0.625, 0.625, 0.625], [0.625, 0.125, 0.625], [0.000, 0.000, 0.000], [0.250, 0.250, 0.250]]}



{"formula": "CsSnO2", "functional": "PBE", "state": "relaxed", "raw_formation_energy_ev_per_atom": -1.0106, "sg": "R-3m (166)", "lattice_angstrom": [[2.021, 0.000, 7.659], [-1.011, 1.750, 7.659], [-1.011, -1.750, 7.659]], "species": ["O", "O", "Cs", "Sn"], "frac_coords": [[0.877, 0.877, 0.877], [0.123, 0.123, 0.123], [0.000, 0.000, 0.000], [0.500, 0.500, 0.500]]}



{"formula": "BePt2W", "functional": "PBE", "state": "relaxed", "formation_energy_ev_per_atom": -0.031, "sg": "F-43m (216)", "lattice_angstrom": [[4.326, 0.000, 0.000], [2.163, 3.746, 0.000], [2.163, 1.249, 3.532]], "species": ["Be", "Pt", "Pt", "W"], "frac_coords": [[0.500, 0.500, 0.500], [0.250, 0.250, 0.250], [0.000, 0.000, 0.000], [0.750, 0.750, 0.750]]}



{"formula": "AcIn2S", "functional": "PBE", "state": "relaxed", "raw_formation_energy_ev_per_atom": -0.1844, "sg": "R-3m (166)", "lattice_angstrom": [[3.777, 0.000, 0.000], [1.889, 3.271, 0.000], [1.889, 1.090, 10.361]], "species": ["In", "In", "Ac", "S"], "frac_coords": [[0.891, 0.891, 0.327], [0.109, 0.109, 0.673], [0.000, 0.000, 0.000], [0.500, 0.500, 0.500]]}



{"formula": "Pm3NdCo2", "functional": "PBE", "state": "relaxed", "formation_energy_ev_per_atom": -0.065, "sg": "C2/m (12)", "polymorph_energy_mev_per_atom": 0, "lattice_angstrom": [[-1.739, 3.341, 0.435], [-3.540, -0.721, 7.919], [6.906, 5.018, 5.598]], "species": ["Nd", "Nd", "Pm", "Pm", "Pm", "Pm", "Pm", "Pm", "Co", "Co", "Co", "Co"], "frac_coords": [[0.158, 0.435, 0.249], [0.842, 0.565, 0.751], [0.415, 0.727, 0.444], [0.585, 0.776, 0.055], [0.415, 0.224, 0.945], [0.585, 0.273, 0.556], [0.841, 0.066, 0.252], [0.159, 0.934, 0.748], [0.765, 0.422, 0.047], [0.235, 0.578, 0.953], [0.234, 0.078, 0.453], [0.766, 0.922, 0.547]]}



{"formula": "ZrCrSi2", "functional": "PBE", "state": "relaxed", "raw_formation_energy_ev_per_atom": -0.1355, "sg": "I4/mmm (139)", "polymorph_energy_mev_per_atom": 492, "lattice_angstrom": [[4.742, 0.001, 0.000], [1.320, 4.555, 0.000], [-3.031, -2.278, 2.848]], "species": ["Cr", "Si", "Si", "Zr"], "frac_coords": [[0.750, 0.250, 0.500], [0.500, 0.500, 0.000], [0.000, 0.000, 0.000], [0.250, 0.750, 0.500]]}



{"formula": "Tc2Mo", "functional": "PBE", "state": "relaxed", "formation_energy_ev_per_atom": 0.110, "sg": "I4/mmm (139)", "polymorph_energy_mev_per_atom": 0, "lattice_angstrom": [[-5.270, 0.037, 3.415], [-6.017, -1.798, 0.056], [6.158, -0.816, -0.923]], "species": ["Tc", "Tc", "Mo"], "frac_coords": [[0.326, 0.326, 0.000], [0.674, 0.674, 0.000], [0.000, 0.000, 0.000]]}



{"formula": "NbF", "functional": "PBE", "state": "relaxed", "raw_formation_energy_ev_per_atom": -1.3935, "sg": "I4/m (87)", "polymorph_energy_mev_per_atom": 244, "lattice_angstrom": [[-5.290, -3.589, 6.517], [3.525, -8.251, -1.682], [2.055, 0.484, 1.935]], "species": ["Nb", "Nb", "Nb", "Nb", "Nb", "Nb", "Nb", "Nb", "F", "F", "F", "F", "F", "F", "F", "F"], "frac_coords": [[0.841, 0.629, 0.500], [0.341, 0.129, 0.000], [0.129, 0.659, 0.000], [0.371, 0.841, 0.500], [0.629, 0.159, 0.500], [0.871, 0.341, 0.000], [0.159, 0.371, 0.500], [0.659, 0.871, 0.000], [0.007, 0.799, 0.500], [0.201, 0.007, 0.500], [0.701, 0.507, 0.000], [0.507, 0.299, 0.000], [0.493, 0.701, 0.000], [0.993, 0.201, 0.500], [0.299, 0.493, 0.000], [0.799, 0.993, 0.500]]}



{"formula": "Pm3Tl4Zn2", "functional": "PBE", "state": "relaxed", "formation_energy_ev_per_atom": -0.299, "sg": "C2/m (12)", "lattice_angstrom": [[4.835, 0.000, 0.000], [-2.418, 5.475, -1.884], [0.000, -0.655, 9.125]], "species": ["Pm", "Pm", "Pm", "Tl", "Tl", "Tl", "Tl", "Zn", "Zn"], "frac_coords": [[0.669, 0.339, 0.667], [0.331, 0.661, 0.333], [0.000, 0.000, 0.000], [0.311, 0.622, 0.964], [0.689, 0.378, 0.036], [0.915, 0.830, 0.588], [0.085, 0.170, 0.412], [0.415, 0.829, 0.736], [0.585, 0.171, 0.264]]}



The following V values (in Å³/atom) correspond, in order, to the records above: 17.5 14.0 26.7 21.5 20.3 14.3 32.0 26.6 15.4 15.1 14.9 26.2.
The following DFT total energy values (in eV per atom) correspond, in order, to the records above: -6.77 -6.87 -6.15 -4.89 -4.70 -7.22 -3.61 -5.60 -7.39 -10.41 -7.36 -3.22.